4
Lattice="2.964 0.000 0.000 -1.482 4.654 -0.025 0.000 -2.532 5.457" Properties=species:S:1:pos:R:3 comment="SCAN In2SiNi, PBEsol geometry" magmom_total_mub_per_cell=0.0 raw_formation_energy_ev_per_atom=0.089 pbc="T T T"
Ni 1.482 -0.528 2.215
Si 0.000 -0.390 3.961
In 1.482 1.985 2.029
In 1.482 1.912 5.388